This record from Alexandria via LeMat-Bulk describes a relaxed structure of LaCeRhI. The functional is PBE.

Summary:
Space group ... R3m
Energy relative to the elements, uncorrected ... -930 meV per atom

abc: 8.6183 8.6183 8.6183
angles: 27.86 27.86 27.86
Closest atoms and distances in Å follow each position.
Fractional coordinates of all 4 atoms:
La: 0.0000 0.0000 0.0000  3 Rh 2.90
Ce: 0.7916 0.7916 0.7916  3 Rh 2.81
Rh: 0.3995 0.3995 0.3995  3 Ce 2.81, 3 La 2.90
I: 0.2274 0.2274 0.2274  3 Ce 3.50, 3 La 3.56

This record from Alexandria via LeMat-Bulk describes a relaxed structure of LaCeRuI. The functional is PBE.

Summary:
Space group ... R3m
Energy relative to the elements, uncorrected ... -735 meV per atom

abc: 8.5806 8.5806 8.5806
angles: 27.67 27.67 27.67
Closest atoms and distances in Å follow each position.
Fractional coordinates of all 4 atoms:
La: 0.0000 0.0000 0.0000  3 Ru 2.95
Ce: 0.2096 0.2096 0.2096  3 Ru 2.71
Ru: 0.5959 0.5959 0.5959  3 Ce 2.71, 3 La 2.95
I: 0.7724 0.7724 0.7724  3 Ce 3.50, 3 La 3.53

This record from Alexandria via LeMat-Bulk describes a relaxed structure of LaCeSbI. The functional is PBE.

Summary:
Space group ... F-43m
Energy relative to the elements, uncorrected ... -977 meV per atom

abc: 5.5546 5.5546 5.5546
angles: 60.00 60.00 60.00
Closest atoms and distances in Å follow each position.
Fractional coordinates of all 4 atoms:
La: 0.0000 0.0000 0.0000  4 I 3.40, 4 Sb 3.40
Ce: 0.5000 0.5000 0.5000  4 I 3.40, 4 Sb 3.40
Sb: 0.2500 0.2500 0.2500  4 Ce 3.40, 4 La 3.40
I: 0.7500 0.7500 0.7500  4 La 3.40, 4 Ce 3.40

This record from Alexandria via LeMat-Bulk describes a relaxed structure of LaCeSnI. The functional is PBE.

Summary:
Space group ... F-43m
Energy relative to the elements, uncorrected ... -750 meV per atom

abc: 5.5773 5.5773 5.5773
angles: 60.00 60.00 60.00
Closest atoms and distances in Å follow each position.
Fractional coordinates of all 4 atoms:
La: 0.0000 0.0000 0.0000  4 Sn 3.42, 4 I 3.42
Ce: 0.5000 0.5000 0.5000  4 Sn 3.42, 4 I 3.42
Sn: 0.7500 0.7500 0.7500  4 La 3.42, 4 Ce 3.42
I: 0.2500 0.2500 0.2500  4 Ce 3.42, 4 La 3.42

This record from Alexandria via LeMat-Bulk describes a relaxed structure of LaCeTeI. The functional is PBE.

Summary:
Space group ... F-43m
Energy relative to the elements, uncorrected ... -1101 meV per atom

abc: 5.5323 5.5323 5.5323
angles: 60.00 60.00 60.00
Closest atoms and distances in Å follow each position.
Fractional coordinates of all 4 atoms:
La: 0.0000 0.0000 0.0000  4 I 3.39, 4 Te 3.39
Ce: 0.5000 0.5000 0.5000  4 Te 3.39, 4 I 3.39
Te: 0.2500 0.2500 0.2500  4 Ce 3.39, 4 La 3.39
I: 0.7500 0.7500 0.7500  4 Ce 3.39, 4 La 3.39

This record from Alexandria via LeMat-Bulk describes a relaxed structure of LiCe2I6. The functional is PBE.

Summary:
Space group ... C2/m
Polymorph energy (0 for the lowest one) ... 0.00 kJ per mole of atoms
Energy relative to the elements, uncorrected ... -1268 meV per atom

abc: 9.0108 9.0108 10.8471
angles: 107.52 107.52 28.37
Closest atoms and distances in Å follow each position.
Fractional coordinates of all 9 atoms:
Li: 0.0000 0.0000 0.0000  6 I 3.03-3.19
Ce: 0.3359 0.3359 0.6709  6 I 3.10-3.25
Ce: 0.6641 0.6641 0.3291  6 I 3.10-3.25
I: 0.0292 0.0292 0.3052  2 Ce 3.18, 1 Li 3.19
I: 0.3038 0.3038 0.3593  3 Ce 3.23-3.25
I: 0.3770 0.3770 0.9700  2 Li 3.03, 1 Ce 3.10
I: 0.6230 0.6230 0.0300  2 Li 3.03, 1 Ce 3.10
I: 0.6962 0.6962 0.6407  3 Ce 3.23-3.25
I: 0.9708 0.9708 0.6948  2 Ce 3.18, 1 Li 3.19

This record from Alexandria via LeMat-Bulk describes a relaxed structure of Li2Ce3I8. The functional is PBE.

Summary:
Space group ... C2/m
Energy relative to the elements, uncorrected ... -1185 meV per atom

abc: 9.1231 9.1231 7.4045
angles: 105.86 105.86 57.02
Closest atoms and distances in Å follow each position.
Fractional coordinates of all 13 atoms:
Li: 0.2487 0.2487 0.0484  3 I 2.85-2.92
Li: 0.7513 0.7513 0.9516  3 I 2.85-2.92
Ce: 0.2787 0.7213 0.0000  6 I 3.20-3.27
Ce: 0.5000 0.5000 0.5000  6 I 3.24-3.26
Ce: 0.7213 0.2787 0.0000  6 I 3.20-3.27
I: 0.1153 0.6131 0.2423  2 Li 2.92-3.20, 2 Ce 3.23-3.24
I: 0.1204 0.1204 0.2420  1 Li 2.85
I: 0.3556 0.3556 0.7280  3 Ce 3.20-3.26, 1 Li 3.33
I: 0.3869 0.8847 0.7577  2 Li 2.92-3.20, 2 Ce 3.23-3.24
I: 0.6131 0.1153 0.2423  2 Li 2.92-3.20, 2 Ce 3.23-3.24
I: 0.6444 0.6444 0.2720  3 Ce 3.20-3.26, 1 Li 3.33
I: 0.8796 0.8796 0.7580  1 Li 2.85
I: 0.8847 0.3869 0.7577  2 Li 2.92-3.20, 2 Ce 3.23-3.24

This record from Alexandria via LeMat-Bulk describes a relaxed structure of LiCe2I8. The functional is PBE.

Summary:
Space group ... C2/m
Energy relative to the elements, uncorrected ... -1106 meV per atom

abc: 9.9227 9.9227 6.2682
angles: 90.27 90.27 72.40
Closest atoms and distances in Å follow each position.
Fractional coordinates of all 11 atoms:
Li: 0.0000 0.0000 0.0000  4 I 2.98
Ce: 0.2166 0.2166 0.2510  5 I 2.92-3.15
Ce: 0.7834 0.7834 0.7490  5 I 2.92-3.15
I: 0.0945 0.7243 0.7696  1 Ce 2.97, 1 Li 2.98
I: 0.2121 0.2121 0.7484  2 Ce 3.12-3.15
I: 0.2757 0.9055 0.2304  1 Ce 2.97, 1 Li 2.98
I: 0.3992 0.3992 0.2534  1 Ce 2.92
I: 0.6008 0.6008 0.7466  1 Ce 2.92
I: 0.7243 0.0945 0.7696  1 Ce 2.97, 1 Li 2.98
I: 0.7879 0.7879 0.2516  2 Ce 3.12-3.15
I: 0.9055 0.2757 0.2304  1 Ce 2.97, 1 Li 2.98